VASP calculation (GGA+U) on a geometry-optimized WN2O2 structure.

```
WN2O2
1.0
-3.644 0.234 1.291
-1.293 -1.279 -3.420
0.232 -3.867 1.358
N O W
2 2 1
direct
0.000 0.000 0.500
0.500 0.500 0.500
0.500 0.000 0.000
0.000 0.500 0.000
0.000 0.000 0.000
```

## Properties
SG	P4/mmm, No. 123
ΔE to the lowest computed polymorph	1213	meV per atom